Here is BaAlMo2O8 after structural relaxation from Alexandria via LeMat-Bulk. Energies are from PBE+U.

Output
electronic total energy = -0.2590 Ha/atom

a b c (Å): 5.6755 5.6755 7.1550
angles (deg): 90.00 90.00 120.00
Space group P-3m1 (No. 164)
Asymmetric unit:
Ba 0.0000 0.0000 0.0000 x1
Al 0.0000 0.0000 0.5000 x1
Mo 0.3333 0.6667 0.7322 x2
O 0.1538 0.3075 0.6614 x6
O 0.3333 0.6667 0.9829 x2